# PBE Sc2Tc3P4, relaxed
data_Sc2Tc3P4
_cell_length_a 6.4700
_cell_length_b 6.5644
_cell_length_c 6.7689
_cell_angle_alpha 90.00
_cell_angle_beta 112.24
_cell_angle_gamma 90.00
_symmetry_space_group_name_H-M 'P 1 21/c 1'
_symmetry_Int_Tables_number 14
_symmetry_space_group_name_Hall '-P 2ybc'
loop_
_atom_site_label
_atom_site_type_symbol
_atom_site_fract_x
_atom_site_fract_y
_atom_site_fract_z
Sc1 Sc 0.1890 0.1838 0.0591
Tc1 Tc 0.2414 0.6130 0.2605
Tc2 Tc 0.5000 0.0000 0.5000
P1 P 0.0992 0.5730 0.8551
P2 P 0.4705 0.6514 0.6363
# Energy of formation ... -0.8913 eV/atom